# PBE+U MgNiAs2O6, optimized geometry
# Mass density ... 4.11 g/cm3
# Total magnetization ... 3.88 Bohr magnetons per cell
# VASP energy ... -5.64 eV per atom
data_MgNiAs2O6
_space_group_name_H-M_alt 'P 1'
_space_group_IT_number 1
_space_group_name_Hall 'P 1'
_cell_length_a 6.9266
_cell_length_b 6.6007
_cell_length_c 6.6007
_cell_angle_alpha 78.07
_cell_angle_beta 70.16
_cell_angle_gamma 70.16
loop_
_atom_site_label
_atom_site_type_symbol
_atom_site_fract_x
_atom_site_fract_y
_atom_site_fract_z
_atom_site_occupancy
Mg1 Mg 0.2500 0.2555 0.7445 1
Mg2 Mg 0.7500 0.7445 0.2555 1
Ni1 Ni 0.2500 0.8878 0.1122 1
Ni2 Ni 0.7500 0.1122 0.8878 1
As1 As 0.3375 0.7427 0.6372 1
As2 As 0.1625 0.3628 0.2573 1
As3 As 0.6625 0.2573 0.3628 1
As4 As 0.8375 0.6372 0.7427 1
O1 O 0.2005 0.9597 0.8025 1
O2 O 0.2995 0.1975 0.0403 1
O3 O 0.7995 0.0403 0.1975 1
O4 O 0.7005 0.8025 0.9597 1
O5 O 0.3745 0.8328 0.3616 1
O6 O 0.1255 0.6384 0.1672 1
O7 O 0.6255 0.1672 0.6384 1
O8 O 0.8745 0.3616 0.8328 1
O9 O 0.1435 0.5945 0.7099 1
O10 O 0.3565 0.2901 0.4055 1
O11 O 0.8565 0.4055 0.2901 1
O12 O 0.6435 0.7099 0.5945 1